*one*
{"formula": "PHRu", "functional": "PBE-GGA", "state": "relaxed", "sg": "Imm2 (44)", "lattice": [[-1.501, 1.509, 3.657], [1.501, -1.509, 3.657], [1.501, 1.509, -3.657]], "species": ["P", "H", "Ru"], "fractional_positions": [[0.000, 0.000, 0.000], [0.631, 0.631, 0.000], [0.246, 0.746, 0.500]]}

=====

*two*
{"formula": "PHRu", "functional": "PBE-GGA", "state": "relaxed", "sg": "I4mm (107)", "lattice": [[-1.479, 1.479, 4.372], [1.479, -1.479, 4.372], [1.479, 1.479, -4.372]], "species": ["P", "H", "Ru"], "fractional_positions": [[0.000, 0.000, 0.000], [0.827, 0.827, 0.000], [0.612, 0.612, 0.000]]}

=====

*three*
{"formula": "PHRu", "functional": "PBE-GGA", "state": "relaxed", "sg": "I4mm (107)", "lattice": [[-1.511, 1.511, 3.584], [1.511, -1.511, 3.584], [1.511, 1.511, -3.584]], "species": ["P", "H", "Ru"], "fractional_positions": [[0.000, 0.000, 0.000], [0.424, 0.424, 0.000], [0.650, 0.650, 0.000]]}

=====

What is the stability order? It is *one*, *two*, *three*, from most stable to least stable.

=====

*one*
{"formula": "P2HRu", "functional": "PBE-GGA", "state": "relaxed", "sg": "I-42d (122)", "lattice": [[-2.611, 2.611, 3.734], [2.611, -2.611, 3.734], [2.611, 2.611, -3.734]], "species": ["P", "P", "P", "P", "H", "H", "Ru", "Ru"], "fractional_positions": [[0.062, 0.625, 0.937], [0.375, 0.312, 0.437], [0.688, 0.125, 0.063], [0.875, 0.938, 0.563], [0.000, 0.000, 0.000], [0.750, 0.250, 0.500], [0.250, 0.750, 0.500], [0.500, 0.500, 0.000]]}

=====

*two*
{"formula": "P2HRu", "functional": "PBE-GGA", "state": "relaxed", "sg": "Fm-3m (225)", "lattice": [[0.000, 2.842, 2.842], [2.842, 0.000, 2.842], [2.842, 2.842, 0.000]], "species": ["P", "P", "H", "Ru"], "fractional_positions": [[0.250, 0.250, 0.250], [0.750, 0.750, 0.750], [0.000, 0.000, 0.000], [0.500, 0.500, 0.500]]}

=====

What is the stability order? It is *one*, *two*, from most stable to least stable.

=====

*one*
{"formula": "P2H2Ru", "functional": "PBE-GGA", "state": "relaxed", "sg": "P4/mbm (127)", "lattice": [[5.657, 0.000, 0.000], [0.000, 5.657, 0.000], [0.000, 0.000, 2.914]], "species": ["P", "P", "P", "P", "H", "H", "H", "H", "Ru", "Ru"], "fractional_positions": [[0.142, 0.358, 0.000], [0.358, 0.858, 0.000], [0.642, 0.142, 0.000], [0.858, 0.642, 0.000], [0.121, 0.621, 0.500], [0.379, 0.121, 0.500], [0.621, 0.879, 0.500], [0.879, 0.379, 0.500], [0.000, 0.000, 0.500], [0.500, 0.500, 0.500]]}

=====

*two*
{"formula": "P2H2Ru", "functional": "PBE-GGA", "state": "relaxed", "sg": "I4/mmm (139)", "lattice": [[-2.067, 2.067, 2.842], [2.067, -2.067, 2.842], [2.067, 2.067, -2.842]], "species": ["P", "P", "H", "H", "Ru"], "fractional_positions": [[0.250, 0.750, 0.500], [0.750, 0.250, 0.500], [0.068, 0.068, 0.000], [0.932, 0.932, 0.000], [0.500, 0.500, 0.000]]}

=====

What is the stability order? It is *two*, *one*, from most stable to least stable.